Pr2NdCu2Si4Pt2 | PBE-GGA | relaxed

abc: 12.545 12.545 12.545
angles: 160.76 160.75 27.35
Element x y z (fractional)
Pr 0.151 0.151 0.000
Pr 0.849 0.849 0.000
Nd 0.500 0.000 0.500
Cu 0.251 0.751 0.500
Cu 0.749 0.249 0.500
Si 0.049 0.549 0.500
Si 0.303 0.303 0.000
Si 0.697 0.697 0.000
Si 0.951 0.451 0.500
Pt 0.403 0.403 0.000
Pt 0.597 0.597 0.000

Properties
total energy: -0.4353 Ry/atom
crystal system: orthorhombic

Zr4GeAuC2 | PBE-GGA | relaxed

abc: 3.342 3.342 14.034
angles: 90.00 90.00 120.00
Element x y z (fractional)
Zr 0.000 0.000 0.156
Zr 0.000 0.000 0.844
Zr 0.333 0.667 0.339
Zr 0.333 0.667 0.661
Ge 0.333 0.667 0.000
Au 0.000 0.000 0.500
C 0.667 0.333 0.247
C 0.667 0.333 0.753

Properties
total energy: -0.6100 Ry/atom
crystal system: hexagonal

Question: Which of these has the lowest total energy?
Answer: Zr4GeAuC2

Question: Which of these has the lowest total energy?
Answer: Zr4GeAuC2

Question: Among the records above, which one has the highest total energy?
Answer: Pr2NdCu2Si4Pt2

What did the second record say?
Zr4GeAuC2 | PBE-GGA | relaxed

abc: 3.342 3.342 14.034
angles: 90.00 90.00 120.00
Element x y z (fractional)
Zr 0.000 0.000 0.156
Zr 0.000 0.000 0.844
Zr 0.333 0.667 0.339
Zr 0.333 0.667 0.661
Ge 0.333 0.667 0.000
Au 0.000 0.000 0.500
C 0.667 0.333 0.247
C 0.667 0.333 0.753

Properties
total energy: -0.6100 Ry/atom
crystal system: hexagonal